Compound: TiMo14W
Source: the Alexandria database
Functional: PBE
Structure: relaxed

Computed properties:
DFT formation energy = -6.5 kJ/mol of atoms
volume = 507 Å³/cell
crystal system = orthorhombic

CIF file:
```
data_TiMo14W
_chemical_formula_sum 'Ti2 Mo28 W2'
_space_group_name_H-M_alt 'C m m m'
_space_group_IT_number 65
_space_group_name_Hall '-C 2 2'
_cell_length_a 6.324
_cell_length_b 8.944
_cell_length_c 8.955
_cell_angle_alpha 90.00
_cell_angle_beta 90.00
_cell_angle_gamma 90.00
loop_
_atom_site_label
_atom_site_fract_x
_atom_site_fract_y
_atom_site_fract_z
Ti1 0.000 0.000 0.000
Mo1 0.000 0.000 0.500
Mo2 0.000 0.249 0.249
Mo3 0.000 0.500 0.500
Mo4 0.250 0.000 0.251
Mo5 0.250 0.250 0.000
Mo6 0.250 0.250 0.500
W1 0.000 0.500 0.000
```

***

Compound: Ti2MoW6
Source: the Alexandria database
Functional: PBE
Structure: relaxed

Computed properties:
DFT formation energy = 40.1 kJ/mol of atoms
volume = 155 Å³/cell
crystal system = triclinic

CIF file:
```
data_Ti2MoW6
_chemical_formula_sum 'Ti2 Mo1 W6'
_space_group_name_H-M_alt 'P -1'
_space_group_IT_number 2
_space_group_name_Hall '-P 1'
_cell_length_a 4.469
_cell_length_b 5.462
_cell_length_c 6.833
_cell_angle_alpha 100.50
_cell_angle_beta 109.02
_cell_angle_gamma 90.12
loop_
_atom_site_label
_atom_site_fract_x
_atom_site_fract_y
_atom_site_fract_z
Ti1 0.106 0.001 0.211
Mo1 0.000 0.500 0.000
W1 0.291 0.835 0.583
W2 0.308 0.352 0.616
W3 0.494 0.757 0.987
```

***

Compound: TiMo6W3
Source: the Alexandria database
Functional: PBE
Structure: relaxed

Computed properties:
DFT formation energy = 28.9 kJ/mol of atoms
volume = 333 Å³/cell
crystal system = monoclinic

CIF file:
```
data_TiMo6W3
_chemical_formula_sum 'Ti2 Mo12 W6'
_space_group_name_H-M_alt 'P 1 21/m 1'
_space_group_IT_number 11
_space_group_name_Hall '-P 2yb'
_cell_length_a 9.460
_cell_length_b 3.114
_cell_length_c 12.210
_cell_angle_alpha 90.00
_cell_angle_beta 112.28
_cell_angle_gamma 90.00
loop_
_atom_site_label
_atom_site_fract_x
_atom_site_fract_y
_atom_site_fract_z
Ti1 0.057 0.250 0.238
Mo1 0.110 0.250 0.986
Mo2 0.219 0.750 0.449
Mo3 0.223 0.750 0.772
Mo4 0.256 0.750 0.197
Mo5 0.378 0.250 0.641
Mo6 0.476 0.250 0.170
W1 0.075 0.250 0.595
W2 0.363 0.750 0.988
W3 0.415 0.250 0.401
```